1.
NaMnSb2Au: relaxed, PBE.

Results
Space group   P4/mmm
Formation energy without anion corrections   0.40 eV per atom
E_tot   -20.02 eV/f.u.
N(E_F)   3.39 states/eV/f.u.

Cell lengths 5.4772, 5.4772, 5.0795 Å; angles 90.00, 90.00, 90.00 degrees
Last column: nearest neighbours and their distance in Å.
Fractional positions:
Na 0.0000 0.0000 0.0000  8 Sb 3.74, 4 Mn 3.87
Mn 0.5000 0.5000 0.0000  2 Au 2.54
Sb 0.0000 0.5000 0.5000  2 Au 2.74
Sb 0.5000 0.0000 0.5000  2 Au 2.74
Au 0.5000 0.5000 0.5000  2 Mn 2.54, 4 Sb 2.74

---

2.
GaP2OsPd: relaxed, PBE.

Results
Space group   P4/mmm
E_tot   -27.94 eV/f.u.
Calculated formation energy   467 meV/atom
N(E_F)   2.72 states/eV/f.u.

Cell lengths 4.4200, 4.4200, 5.4020 Å; angles 90.00, 90.00, 90.00 degrees
Last column: nearest neighbours and their distance in Å.
Fractional positions:
Ga 0.0000 0.0000 0.0000  4 Pd 3.13, 8 P 3.49
P 0.0000 0.5000 0.5000  2 Os 2.21
P 0.5000 0.0000 0.5000  2 Os 2.21
Os 0.5000 0.5000 0.5000  4 P 2.21
Pd 0.5000 0.5000 0.0000  2 Os 2.70

---

3.
SrPt2Cl: relaxed, PBE.

Results
Space group   Cmmm
Formation energy without anion corrections   -0.16 eV per atom
E_tot   -16.26 eV/f.u.
Excess energy over the best structure of this formula in the dataset   61.70 kJ per mole of atoms
N(E_F)   4.49 states/eV/f.u.

Cell lengths 6.1418, 6.1418, 3.1124 Å; angles 90.00, 90.00, 129.45 degrees
Last column: nearest neighbours and their distance in Å.
Fractional positions:
Sr 0.0000 0.0000 0.0000  2 Cl 2.62
Pt 0.0000 0.5000 0.5000  2 Pt 2.62
Pt 0.5000 0.0000 0.5000  2 Pt 2.62
Cl 0.5000 0.5000 0.0000  2 Sr 2.62

---

4.
TaCd5: relaxed, PBE.

Results
Space group   F-43m
E_tot   -13.16 eV/f.u.
Calculated formation energy   545 meV/atom
N(E_F)   4.94 states/eV/f.u.

Cell lengths 5.6741, 5.6741, 5.6741 Å; angles 60.00, 60.00, 60.00 degrees
Last column: nearest neighbours and their distance in Å.
Fractional positions:
Ta 0.0000 0.0000 0.0000  16 Cd 3.33-3.47
Cd 0.1231 0.6256 0.6256  6 Cd 2.82-2.85
Cd 0.2500 0.2500 0.2500  12 Cd 3.33, 4 Ta 3.47
Cd 0.6256 0.1231 0.6256  6 Cd 2.82-2.85
Cd 0.6256 0.6256 0.1231  6 Cd 2.82-2.85
Cd 0.6256 0.6256 0.6256  6 Cd 2.82-2.85

---

5.
Ba5LaSi6: relaxed, PBE.

Results
Space group   Pnma
Formation energy without anion corrections   -0.48 eV per atom
E_tot   -52.87 eV/f.u.
N(E_F)   6.08 states/eV/f.u.

Cell lengths 17.3916, 4.8866, 18.0168 Å; angles 90.00, 90.00, 90.00 degrees
Last column: nearest neighbours and their distance in Å.
Fractional positions:
Ba 0.0294 0.2500 0.0913  7 Si 3.38-3.54
Ba 0.0703 0.7500 0.6934  6 Si 3.49-3.54, 1 La 3.89
Ba 0.0772 0.7500 0.4398  5 Si 3.47-3.68, 1 La 3.83
Ba 0.1613 0.2500 0.8694  5 Si 3.46-3.55
Ba 0.1732 0.2500 0.2689  7 Si 3.39-3.54
Ba 0.3268 0.7500 0.7689  7 Si 3.39-3.54
Ba 0.3387 0.7500 0.3694  5 Si 3.46-3.55
Ba 0.4228 0.2500 0.9398  5 Si 3.47-3.68, 1 La 3.83
Ba 0.4297 0.2500 0.1934  6 Si 3.49-3.54, 1 La 3.89
Ba 0.4706 0.7500 0.5913  7 Si 3.38-3.54
Ba 0.5294 0.2500 0.4087  7 Si 3.38-3.54
Ba 0.5703 0.7500 0.8066  6 Si 3.49-3.54, 1 La 3.89
Ba 0.5772 0.7500 0.0602  5 Si 3.47-3.68, 1 La 3.83
Ba 0.6613 0.2500 0.6306  5 Si 3.46-3.55
Ba 0.6732 0.2500 0.2311  7 Si 3.39-3.54
Ba 0.8268 0.7500 0.7311  7 Si 3.39-3.54
Ba 0.8387 0.7500 0.1306  5 Si 3.46-3.55
Ba 0.9228 0.2500 0.5602  5 Si 3.47-3.68, 1 La 3.83
Ba 0.9297 0.2500 0.3066  6 Si 3.49-3.54, 1 La 3.89
Ba 0.9706 0.7500 0.9087  7 Si 3.38-3.54
La 0.2475 0.2500 0.0683  10 Si 3.19-3.23
La 0.2525 0.7500 0.5683  10 Si 3.19-3.23
La 0.7475 0.2500 0.4317  10 Si 3.19-3.23
La 0.7525 0.7500 0.9317  10 Si 3.19-3.23
Si 0.0437 0.7500 0.2224  1 Si 2.42
Si 0.1344 0.2500 0.5652  2 Si 2.46-2.47
Si 0.1459 0.7500 0.0043  2 Si 2.44-2.45
Si 0.1537 0.7500 0.1397  3 Si 2.42-2.44
Si 0.2129 0.2500 0.6787  2 Si 2.42-2.46
Si 0.2220 0.2500 0.4575  2 Si 2.45-2.47
Si 0.2780 0.7500 0.9575  2 Si 2.45-2.47
Si 0.2871 0.7500 0.1787  2 Si 2.42-2.46
Si 0.3463 0.2500 0.6397  3 Si 2.42-2.44
Si 0.3541 0.2500 0.5043  2 Si 2.44-2.45
Si 0.3656 0.7500 0.0652  2 Si 2.46-2.47
Si 0.4563 0.2500 0.7224  1 Si 2.42
Si 0.5437 0.7500 0.2776  1 Si 2.42
Si 0.6344 0.2500 0.9348  2 Si 2.46-2.47
Si 0.6459 0.7500 0.4957  2 Si 2.44-2.45
Si 0.6537 0.7500 0.3603  3 Si 2.42-2.44
Si 0.7129 0.2500 0.8213  2 Si 2.42-2.46
Si 0.7220 0.2500 0.0425  2 Si 2.45-2.47
Si 0.7780 0.7500 0.5425  2 Si 2.45-2.47
Si 0.7871 0.7500 0.3213  2 Si 2.42-2.46
Si 0.8463 0.2500 0.8603  3 Si 2.42-2.44
Si 0.8541 0.2500 0.9957  2 Si 2.44-2.45
Si 0.8656 0.7500 0.4348  2 Si 2.46-2.47
Si 0.9563 0.2500 0.7776  1 Si 2.42

---

6.
NdTmThSc: relaxed, PBE.

Results
Space group   R3m
E_tot   -22.83 eV/f.u.
Excess energy over the best structure of this formula in the dataset   0.00 kJ per mole of atoms
Calculated formation energy   40 meV/atom
N(E_F)   6.33 states/eV/f.u.

Cell lengths 11.4025, 11.4025, 11.4025 Å; angles 17.84, 17.84, 17.84 degrees
Last column: nearest neighbours and their distance in Å.
Fractional positions:
Nd 0.0000 0.0000 0.0000  3 Sc 3.49, 6 Nd 3.54, 3 Tm 3.60
Tm 0.7549 0.7549 0.7549  3 Th 3.45, 6 Tm 3.54, 3 Nd 3.60
Th 0.1708 0.1708 0.1708  3 Sc 3.34, 3 Tm 3.45, 6 Th 3.54
Sc 0.5827 0.5827 0.5827  3 Th 3.34, 3 Nd 3.49, 6 Sc 3.54